RbNdCdO3 | PBE | relaxed

Lattice parameters (Å, degrees): 3.726 6.930 9.485 90.00 90.00 74.41
Element x y z (fractional)
O 0.387 0.225 0.968
O 0.387 0.225 0.532
O 0.613 0.775 0.032
O 0.613 0.775 0.468
O 0.025 0.949 0.750
O 0.975 0.051 0.250
Nd 0.000 0.000 0.500
Nd 0.000 0.000 0.000
Cd 0.586 0.828 0.250
Cd 0.414 0.172 0.750
Rb 0.307 0.385 0.250
Rb 0.693 0.615 0.750

=====

Nd2Cd3Pb3 | PBE | relaxed

Lattice parameters (Å, degrees): 4.750 4.938 9.246 90.00 90.00 90.00
Element x y z (fractional)
Pb 0.500 0.000 0.000
Pb 0.500 0.000 0.500
Pb 0.000 0.500 0.000
Cd 0.000 0.500 0.500
Cd 0.500 0.500 0.263
Cd 0.500 0.500 0.737
Nd 0.000 0.000 0.248
Nd 0.000 0.000 0.752

=====

| no. | DFT total energy (eV/atom) | M_tot (μB/cell) |
| --- | --- | --- |
| 1 | -5.520 | 0.003 |
| 2 | -3.303 | 0.007 |